Here is a geometry-optimized SrCu structure from Alexandria. Energies are from PBE.

Cell and atoms, written as CIF:
```
data_SrCu
_chemical_formula_sum 'Sr2 Cu2'
_space_group_name_H-M_alt 'P -3 m 1'
_space_group_IT_number 164
_space_group_name_Hall '-P 3 2"'
_cell_length_a 4.1026
_cell_length_b 4.1026
_cell_length_c 8.8150
_cell_angle_alpha 90.00
_cell_angle_beta 90.00
_cell_angle_gamma 120.00
loop_
_atom_site_label
_atom_site_type_symbol
_atom_site_fract_x
_atom_site_fract_y
_atom_site_fract_z
_atom_site_occupancy
Sr1 Sr 0.3333 0.6667 0.2087 1
Cu1 Cu 0.3333 0.6667 0.5530 1
```

Output
ΔE_f ... 0.15 eV per atom
Crystal system ... trigonal
Energy ... -2.739 eV per atom
V ... 128 Å³/cell

=====

Here is a geometry-optimized SrCu structure from Alexandria. Energies are from PBE.

Cell and atoms, written as CIF:
```
data_SrCu
_chemical_formula_sum 'Sr6 Cu6'
_space_group_name_H-M_alt 'P 63/m m c'
_space_group_IT_number 194
_space_group_name_Hall '-P 6c 2c'
_cell_length_a 8.9438
_cell_length_b 8.9438
_cell_length_c 5.0814
_cell_angle_alpha 90.00
_cell_angle_beta 90.00
_cell_angle_gamma 120.00
loop_
_atom_site_label
_atom_site_type_symbol
_atom_site_fract_x
_atom_site_fract_y
_atom_site_fract_z
_atom_site_occupancy
Sr1 Sr 0.1883 0.3766 0.2500 1
Cu1 Cu 0.1452 0.5726 0.7500 1
```

Output
ΔE_f ... 0.03 eV per atom
Crystal system ... hexagonal
Energy ... -2.858 eV per atom
V ... 352 Å³/cell

=====

Here is a geometry-optimized SrCu2 structure from Alexandria. Energies are from PBE.

Cell and atoms, written as CIF:
```
data_SrCu2
_chemical_formula_sum 'Sr4 Cu8'
_space_group_name_H-M_alt 'I 4/m c m'
_space_group_IT_number 140
_space_group_name_Hall '-I 4 2c'
_cell_length_a 5.0471
_cell_length_b 5.0471
_cell_length_c 10.1580
_cell_angle_alpha 90.00
_cell_angle_beta 90.00
_cell_angle_gamma 90.00
loop_
_atom_site_label
_atom_site_type_symbol
_atom_site_fract_x
_atom_site_fract_y
_atom_site_fract_z
_atom_site_occupancy
Sr1 Sr 0.0000 0.0000 0.2500 1
Cu1 Cu 0.1728 0.3272 0.0000 1
```

Output
ΔE_f ... 0.10 eV per atom
Crystal system ... tetragonal
Energy ... -3.196 eV per atom
V ... 259 Å³/cell

=====

Here is a geometry-optimized SrCu structure from Alexandria. Energies are from PBE.

Cell and atoms, written as CIF:
```
data_SrCu
_chemical_formula_sum 'Sr4 Cu4'
_space_group_name_H-M_alt 'P 21 3'
_space_group_IT_number 198
_space_group_name_Hall 'P 2ac 2ab 3'
_cell_length_a 6.1308
_cell_length_b 6.1308
_cell_length_c 6.1308
_cell_angle_alpha 90.00
_cell_angle_beta 90.00
_cell_angle_gamma 90.00
loop_
_atom_site_label
_atom_site_type_symbol
_atom_site_fract_x
_atom_site_fract_y
_atom_site_fract_z
_atom_site_occupancy
Sr1 Sr 0.0675 0.0675 0.0675 1
Cu1 Cu 0.0792 0.5792 0.9208 1
```

Output
ΔE_f ... 0.13 eV per atom
Crystal system ... cubic
Energy ... -2.758 eV per atom
V ... 230 Å³/cell

=====

Here is a geometry-optimized SrCu2 structure from Alexandria. Energies are from PBE.

Cell and atoms, written as CIF:
```
data_SrCu2
_chemical_formula_sum 'Sr4 Cu8'
_space_group_name_H-M_alt 'I m m m'
_space_group_IT_number 71
_space_group_name_Hall '-I 2 2'
_cell_length_a 3.9779
_cell_length_b 6.2116
_cell_length_c 10.9717
_cell_angle_alpha 90.00
_cell_angle_beta 90.00
_cell_angle_gamma 90.00
loop_
_atom_site_label
_atom_site_type_symbol
_atom_site_fract_x
_atom_site_fract_y
_atom_site_fract_z
_atom_site_occupancy
Sr1 Sr 0.0000 0.0000 0.1731 1
Cu1 Cu 0.0000 0.1952 0.5000 1
Cu2 Cu 0.0000 0.5000 0.1062 1
```

Output
ΔE_f ... 0.01 eV per atom
Crystal system ... orthorhombic
Energy ... -3.277 eV per atom
V ... 271 Å³/cell

=====

Here is a geometry-optimized SrCu structure from Alexandria. Energies are from PBE.

Cell and atoms, written as CIF:
```
data_SrCu
_chemical_formula_sum 'Sr2 Cu2'
_space_group_name_H-M_alt 'P 63/m m c'
_space_group_IT_number 194
_space_group_name_Hall '-P 6c 2c'
_cell_length_a 5.1517
_cell_length_b 5.1517
_cell_length_c 4.9869
_cell_angle_alpha 90.00
_cell_angle_beta 90.00
_cell_angle_gamma 120.00
loop_
_atom_site_label
_atom_site_type_symbol
_atom_site_fract_x
_atom_site_fract_y
_atom_site_fract_z
_atom_site_occupancy
Sr1 Sr 0.3333 0.6667 0.2500 1
Cu1 Cu 0.0000 0.0000 0.0000 1
```

Output
ΔE_f ... -0.03 eV per atom
Crystal system ... hexagonal
Energy ... -2.917 eV per atom
V ... 115 Å³/cell